<one>
RbRh3N | PBE-GGA | relaxed

Computed properties:
DOS at the Fermi energy: 9.90 states/eV/cell
SG: No. 221
Theoretical density: 5.4 g cm⁻³

Cell: 4.995 4.995 4.995 Å, 90.00 90.00 90.00°
Each line ends with the local moment (μB).
Fractional coordinates of all 5 atoms:
Rh1 0.500 0.000 0.000  1.16
Rh2 0.000 0.500 0.000  1.30
Rh3 0.000 0.000 0.500  0.87
N1 0.500 0.500 0.500  1.51
Rb1 0.000 0.000 0.000  0.01


<two>
RbRh3N | PBE-GGA | relaxed

Computed properties:
DOS at the Fermi energy: 5.19 states/eV/cell
SG: No. 221
Theoretical density: 8.6 g cm⁻³

Cell: 4.286 4.286 4.286 Å, 90.00 90.00 90.00°
Fractional coordinates of all 5 atoms:
Rh1 0.000 0.000 0.500
Rh2 0.000 0.500 0.000
Rh3 0.500 0.000 0.000
N1 0.000 0.000 0.000
Rb1 0.500 0.500 0.500


Taking the most stable structure as the zero point, the relative energies in kJ/mol of atoms are <one> 257.7; <two> 0.0.


<one>
RbRhS2N | PBE-GGA | relaxed

Computed properties:
DOS at the Fermi energy: 5.83 states/eV/cell
SG: No. 123
Theoretical density: 4.4 g cm⁻³

Cell: 5.204 5.204 3.697 Å, 90.00 90.00 90.00°
Fractional coordinates of all 5 atoms:
N1 0.000 0.000 0.500
Rh1 0.000 0.000 0.000
S1 0.000 0.500 0.000
S2 0.500 0.000 0.000
Rb1 0.500 0.500 0.500


<two>
RbRhS2N | PBE-GGA | relaxed

Computed properties:
DOS at the Fermi energy: 8.67 states/eV/cell
SG: No. 123
Theoretical density: 2.6 g cm⁻³

Cell: 5.815 5.815 5.100 Å, 90.00 90.00 90.00°
Each line ends with the local moment (μB).
Fractional coordinates of all 5 atoms:
N1 0.000 0.000 0.500  -1.81
Rb1 0.000 0.000 0.000  -0.13
S1 0.000 0.500 0.000  -0.68
S2 0.500 0.000 0.000  -0.68
Rh1 0.500 0.500 0.500  0.05


Taking the most stable structure as the zero point, the relative energies in kJ/mol of atoms are <one> 0.0; <two> 209.2.


<one>
RbRuN2 | PBE-GGA | relaxed

Computed properties:
DOS at the Fermi energy: 3.22 states/eV/cell
SG: No. 166
Theoretical density: 5.6 g cm⁻³

Cell: 7.116 7.116 7.116 Å, 26.61 26.61 26.61°
Fractional coordinates of all 4 atoms:
Rb1 0.000 0.000 0.000
N1 0.874 0.874 0.874
N2 0.126 0.126 0.126
Ru1 0.500 0.500 0.500


<two>
RbRuN2 | PBE-GGA | relaxed

Computed properties:
DOS at the Fermi energy: 4.11 states/eV/cell
SG: No. 122
Theoretical density: 4.8 g cm⁻³

Cell: 5.943 5.943 5.924 Å, 59.90 59.90 90.00°
Fractional coordinates of all 8 atoms:
Rb1 0.250 0.750 0.500
Rb2 0.500 0.500 0.000
N1 0.794 0.125 0.250
N2 0.956 0.625 0.250
N3 0.875 0.044 0.750
N4 0.375 0.206 0.750
Ru1 0.750 0.250 0.500
Ru2 0.000 0.000 0.000


<three>
RbRuN2 | PBE-GGA | relaxed

Computed properties:
DOS at the Fermi energy: 2.94 states/eV/cell
SG: No. 166
Theoretical density: 4.7 g cm⁻³

Cell: 8.052 8.052 8.052 Å, 23.94 23.94 23.94°
Each line ends with the local moment (μB).
Fractional coordinates of all 4 atoms:
N1 0.924 0.924 0.924  0.42
N2 0.076 0.076 0.076  0.42
Rb1 0.500 0.500 0.500  0.01
Ru1 0.000 0.000 0.000  -0.55


Taking the most stable structure as the zero point, the relative energies in kJ/mol of atoms are <one> 64.5; <two> 0.0; <three> 105.3.


<one>
RbRuN | PBE-GGA | relaxed

Computed properties:
DOS at the Fermi energy: 7.12 states/eV/cell
SG: No. 57
Theoretical density: 4.2 g cm⁻³

Cell: 5.497 10.725 5.399 Å, 90.00 90.00 90.00°
Fractional coordinates of all 12 atoms:
N1 0.000 0.073 0.250
N2 0.000 0.927 0.750
N3 0.500 0.927 0.750
N4 0.500 0.073 0.250
Rb1 0.250 0.717 0.997
Rb2 0.750 0.717 0.503
Rb3 0.750 0.283 0.003
Rb4 0.250 0.283 0.497
Ru1 0.750 0.025 0.481
Ru2 0.250 0.975 0.519
Ru3 0.750 0.975 0.981
Ru4 0.250 0.025 0.019


<two>
RbRuN | PBE-GGA | relaxed

Computed properties:
DOS at the Fermi energy: 3.83 states/eV/cell
SG: No. 129
Theoretical density: 4.6 g cm⁻³

Cell: 3.721 3.721 10.522 Å, 90.00 90.00 90.00°
Fractional coordinates of all 6 atoms:
Ru1 0.500 0.500 0.500
Ru2 0.000 0.000 0.500
Rb1 0.500 0.000 0.223
Rb2 0.000 0.500 0.777
N1 0.500 0.000 0.594
N2 0.000 0.500 0.406


Taking the most stable structure as the zero point, the relative energies in kJ/mol of atoms are <one> 6.9; <two> 0.0.